Record 1
! HgO2, optimized geometry, DFT PBE; values from VASP
&SYSTEM
  ibrav = 0, nat = 6, ntyp = 2
/
ATOMIC_SPECIES
Hg 200.59 Hg.upf
O 16.00 O.upf
CELL_PARAMETERS angstrom
0.000 3.266 3.266
3.266 0.000 3.266
3.266 3.266 0.000
ATOMIC_POSITIONS crystal
Hg 0.125 0.125 0.125
Hg 0.875 0.875 0.875
O 0.000 0.500 0.500
O 0.500 0.000 0.500
O 0.500 0.500 0.000
O 0.500 0.500 0.500
! V = 70 Å³ per cell
! Space group = Fd-3m, No. 227
! E = -2.2399 eV per atom

Record 2
! HgO, optimized geometry, DFT PBE; values from VASP
&SYSTEM
  ibrav = 0, nat = 2, ntyp = 2
/
ATOMIC_SPECIES
Hg 200.59 Hg.upf
O 16.00 O.upf
CELL_PARAMETERS angstrom
1.693 0.978 2.916
-1.693 0.978 2.916
0.000 -1.955 2.916
ATOMIC_POSITIONS crystal
Hg 0.000 0.000 0.000
O 0.500 0.500 0.500
! V = 29 Å³ per cell
! Space group = R-3m, No. 166
! E = -2.7579 eV per atom

Record 3
! HgO2, optimized geometry, DFT PBE; values from VASP
&SYSTEM
  ibrav = 0, nat = 6, ntyp = 2
/
ATOMIC_SPECIES
Hg 200.59 Hg.upf
O 16.00 O.upf
CELL_PARAMETERS angstrom
0.000 4.668 4.668
4.668 0.000 4.668
4.668 4.668 0.000
ATOMIC_POSITIONS crystal
Hg 0.125 0.125 0.125
Hg 0.875 0.875 0.875
O 0.000 0.000 0.000
O 0.000 0.000 0.500
O 0.000 0.500 0.000
O 0.500 0.000 0.000
! V = 203 Å³ per cell
! Space group = Fd-3m, No. 227
! E = -2.5117 eV per atom

Record 4
! HgO, optimized geometry, DFT PBE; values from VASP
&SYSTEM
  ibrav = 0, nat = 6, ntyp = 2
/
ATOMIC_SPECIES
Hg 200.59 Hg.upf
O 16.00 O.upf
CELL_PARAMETERS angstrom
3.632 0.000 0.000
-1.816 3.145 0.000
0.000 0.000 8.780
ATOMIC_POSITIONS crystal
Hg 0.000 0.749 0.333
Hg 0.251 0.251 0.000
Hg 0.749 0.000 0.667
O 0.000 0.471 0.833
O 0.471 0.000 0.167
O 0.529 0.529 0.500
! V = 100 Å³ per cell
! Space group = P3_221, No. 154
! E = -2.9015 eV per atom

Record 5
! HgO, optimized geometry, DFT PBE; values from VASP
&SYSTEM
  ibrav = 0, nat = 4, ntyp = 2
/
ATOMIC_SPECIES
Hg 200.59 Hg.upf
O 16.00 O.upf
CELL_PARAMETERS angstrom
3.401 0.000 0.000
0.000 3.401 0.000
0.000 0.000 6.061
ATOMIC_POSITIONS crystal
Hg 0.000 0.500 0.000
Hg 0.500 0.000 0.500
O 0.000 0.000 0.250
O 0.000 0.000 0.750
! V = 70 Å³ per cell
! Space group = P4_2/mmc, No. 131
! E = -2.7706 eV per atom

Record 6
! Hg5O, optimized geometry, DFT PBE; values from VASP
&SYSTEM
  ibrav = 0, nat = 6, ntyp = 2
/
ATOMIC_SPECIES
Hg 200.59 Hg.upf
O 16.00 O.upf
CELL_PARAMETERS angstrom
5.645 0.000 0.000
-2.822 4.889 0.000
0.000 0.000 5.615
ATOMIC_POSITIONS crystal
Hg 0.000 0.500 0.000
Hg 0.333 0.667 0.500
Hg 0.500 0.000 0.000
Hg 0.500 0.500 0.000
Hg 0.667 0.333 0.500
O 0.000 0.000 0.500
! V = 155 Å³ per cell
! Space group = P6/mmm, No. 191
! E = -0.5848 eV per atom

Record 7
! HgO, optimized geometry, DFT PBE; values from VASP
&SYSTEM
  ibrav = 0, nat = 2, ntyp = 2
/
ATOMIC_SPECIES
Hg 200.59 Hg.upf
O 16.00 O.upf
CELL_PARAMETERS angstrom
-1.699 1.713 2.520
1.699 -1.713 2.520
1.699 1.713 -2.520
ATOMIC_POSITIONS crystal
Hg 0.000 0.000 0.000
O 0.500 0.500 0.000
! V = 29 Å³ per cell
! Space group = Immm, No. 71
! E = -2.7658 eV per atom

Record 8
! Hg2OsO4, optimized geometry, DFT PBE; values from VASP
&SYSTEM
  ibrav = 0, nat = 14, ntyp = 3
/
ATOMIC_SPECIES
Hg 200.59 Hg.upf
Os 190.23 Os.upf
O 16.00 O.upf
CELL_PARAMETERS angstrom
0.000 4.899 6.451
3.642 0.000 6.451
3.642 4.899 0.000
ATOMIC_POSITIONS crystal
Hg 0.015 0.735 0.015
Hg 0.265 0.985 0.265
Hg 0.735 0.015 0.735
Hg 0.985 0.265 0.985
Os 0.375 0.375 0.375
Os 0.625 0.625 0.625
O 0.152 0.709 0.356
O 0.284 0.356 0.709
O 0.291 0.848 0.716
O 0.356 0.284 0.152
O 0.644 0.716 0.848
O 0.709 0.152 0.284
O 0.716 0.644 0.291
O 0.848 0.291 0.644
! Size of the total moment = 0.00 μB per atom
! V = 230 Å³ per cell
! Space group = Fddd, No. 70
! E = -4.9892 eV per atom

Record 9
! HgOs2O4, optimized geometry, DFT PBE; values from VASP
&SYSTEM
  ibrav = 0, nat = 14, ntyp = 3
/
ATOMIC_SPECIES
Hg 200.59 Hg.upf
Os 190.23 Os.upf
O 16.00 O.upf
CELL_PARAMETERS angstrom
0.000 4.534 4.534
4.534 0.000 4.534
4.534 4.534 0.000
ATOMIC_POSITIONS crystal
Hg 0.125 0.125 0.125
Hg 0.875 0.875 0.875
Os 0.000 0.500 0.500
Os 0.500 0.000 0.500
Os 0.500 0.500 0.000
Os 0.500 0.500 0.500
O 0.273 0.273 0.273
O 0.273 0.273 0.680
O 0.273 0.680 0.273
O 0.320 0.727 0.727
O 0.680 0.273 0.273
O 0.727 0.320 0.727
O 0.727 0.727 0.320
O 0.727 0.727 0.727
! Size of the total moment = 0.31 μB per atom
! V = 186 Å³ per cell
! Space group = Fd-3m, No. 227
! E = -6.3349 eV per atom

Record 10
! HgPOsO, optimized geometry, DFT PBE; values from VASP
&SYSTEM
  ibrav = 0, nat = 8, ntyp = 4
/
ATOMIC_SPECIES
Hg 200.59 Hg.upf
P 30.97 P.upf
Os 190.23 Os.upf
O 16.00 O.upf
CELL_PARAMETERS angstrom
4.124 0.000 0.000
0.000 4.124 0.000
0.000 0.000 7.758
ATOMIC_POSITIONS crystal
Hg 0.250 0.250 0.124
Hg 0.750 0.750 0.876
P 0.250 0.250 0.643
P 0.750 0.750 0.357
Os 0.250 0.750 0.500
Os 0.750 0.250 0.500
O 0.250 0.750 0.000
O 0.750 0.250 0.000
! Size of the total moment = 0.00 μB per atom
! V = 132 Å³ per cell
! Space group = P4/nmm, No. 129
! Excess energy over the best structure of this formula in the dataset = 1.27 eV per formula unit
! E = -5.3559 eV per atom

Record 11
! HgPOsO, optimized geometry, DFT PBE; values from VASP
&SYSTEM
  ibrav = 0, nat = 8, ntyp = 4
/
ATOMIC_SPECIES
Hg 200.59 Hg.upf
P 30.97 P.upf
Os 190.23 Os.upf
O 16.00 O.upf
CELL_PARAMETERS angstrom
3.773 0.000 0.000
0.000 8.126 0.000
0.000 0.000 4.743
ATOMIC_POSITIONS crystal
Hg 0.000 0.091 0.000
Hg 0.000 0.909 0.500
P 0.500 0.322 0.937
P 0.500 0.678 0.437
Os 0.500 0.396 0.441
Os 0.500 0.604 0.941
O 0.000 0.381 0.440
O 0.000 0.619 0.940
! Size of the total moment = 0.00 μB per atom
! V = 145 Å³ per cell
! Space group = Pmc2_1, No. 26
! Excess energy over the best structure of this formula in the dataset = 0.30 eV per formula unit
! E = -5.5964 eV per atom

Record 12
! HgPOsO, optimized geometry, DFT PBE; values from VASP
&SYSTEM
  ibrav = 0, nat = 8, ntyp = 4
/
ATOMIC_SPECIES
Hg 200.59 Hg.upf
P 30.97 P.upf
Os 190.23 Os.upf
O 16.00 O.upf
CELL_PARAMETERS angstrom
4.065 0.000 0.000
0.000 4.065 0.000
0.000 0.000 8.249
ATOMIC_POSITIONS crystal
Hg 0.250 0.750 0.000
Hg 0.750 0.250 0.000
P 0.250 0.250 0.302
P 0.750 0.750 0.698
Os 0.250 0.250 0.582
Os 0.750 0.750 0.418
O 0.250 0.750 0.500
O 0.750 0.250 0.500
! Size of the total moment = 0.00 μB per atom
! V = 136 Å³ per cell
! Space group = P4/nmm, No. 129
! Excess energy over the best structure of this formula in the dataset = 3.45 eV per formula unit
! E = -4.8104 eV per atom

Record 13
! HgPOsO, optimized geometry, DFT PBE; values from VASP
&SYSTEM
  ibrav = 0, nat = 8, ntyp = 4
/
ATOMIC_SPECIES
Hg 200.59 Hg.upf
P 30.97 P.upf
Os 190.23 Os.upf
O 16.00 O.upf
CELL_PARAMETERS angstrom
3.313 0.000 0.000
0.000 6.297 0.000
0.000 0.000 7.349
ATOMIC_POSITIONS crystal
Hg 0.000 0.150 0.000
Hg 0.000 0.850 0.500
P 0.000 0.224 0.357
P 0.000 0.776 0.857
Os 0.500 0.464 0.415
Os 0.500 0.536 0.915
O 0.500 0.449 0.671
O 0.500 0.551 0.171
! Size of the total moment = 0.00 μB per atom
! V = 153 Å³ per cell
! Space group = Pmc2_1, No. 26
! Excess energy over the best structure of this formula in the dataset = 0.00 eV per formula unit
! E = -5.6724 eV per atom

Record 14
! HgPOsO, optimized geometry, DFT PBE; values from VASP
&SYSTEM
  ibrav = 0, nat = 8, ntyp = 4
/
ATOMIC_SPECIES
Hg 200.59 Hg.upf
P 30.97 P.upf
Os 190.23 Os.upf
O 16.00 O.upf
CELL_PARAMETERS angstrom
4.056 0.000 0.000
0.000 4.056 0.000
0.000 0.000 8.083
ATOMIC_POSITIONS crystal
Hg 0.250 0.750 0.000
Hg 0.750 0.250 0.000
P 0.250 0.250 0.298
P 0.750 0.750 0.702
Os 0.250 0.250 0.585
Os 0.750 0.750 0.415
O 0.250 0.750 0.500
O 0.750 0.250 0.500
! Size of the total moment = 0.01 μB per atom
! V = 133 Å³ per cell
! Space group = P4/nmm, No. 129
! Excess energy over the best structure of this formula in the dataset = 3.46 eV per formula unit
! E = -4.8074 eV per atom

Record 15
! Rb2HgOsO6, optimized geometry, DFT PBE; values from VASP
&SYSTEM
  ibrav = 0, nat = 10, ntyp = 4
/
ATOMIC_SPECIES
Rb 85.47 Rb.upf
Hg 200.59 Hg.upf
Os 190.23 Os.upf
O 16.00 O.upf
CELL_PARAMETERS angstrom
0.000 4.194 4.194
4.194 0.000 4.194
4.194 4.194 0.000
ATOMIC_POSITIONS crystal
Rb 0.250 0.250 0.250
Rb 0.750 0.750 0.750
Hg 0.000 0.000 0.000
Os 0.500 0.500 0.500
O 0.278 0.278 0.722
O 0.278 0.722 0.278
O 0.278 0.722 0.722
O 0.722 0.278 0.278
O 0.722 0.278 0.722
O 0.722 0.722 0.278
! Size of the total moment = 0.00 μB per atom
! V = 147 Å³ per cell
! Space group = Fm-3m, No. 225
! E = -5.3236 eV per atom

Record 16
! HgOsSO, optimized geometry, DFT PBE; values from VASP
&SYSTEM
  ibrav = 0, nat = 16, ntyp = 4
/
ATOMIC_SPECIES
Hg 200.59 Hg.upf
Os 190.23 Os.upf
S 32.06 S.upf
O 16.00 O.upf
CELL_PARAMETERS angstrom
4.828 0.000 0.000
0.000 4.849 0.000
-0.771 0.000 13.325
ATOMIC_POSITIONS crystal
Hg 0.055 0.000 0.151
Hg 0.340 0.341 0.012
Hg 0.660 0.841 0.988
Hg 0.945 0.500 0.849
Os 0.037 0.041 0.595
Os 0.415 0.689 0.595
Os 0.585 0.189 0.405
Os 0.963 0.541 0.405
S 0.269 0.391 0.295
S 0.273 0.356 0.698
S 0.727 0.856 0.302
S 0.731 0.891 0.705
O 0.202 0.855 0.466
O 0.290 0.361 0.495
O 0.710 0.861 0.505
O 0.798 0.355 0.534
! Size of the total moment = 0.00 μB per atom
! V = 312 Å³ per cell
! Space group = P2_1, No. 4
! Excess energy over the best structure of this formula in the dataset = 0.37 eV per formula unit
! E = -5.2478 eV per atom

Record 17
! HgOsSO, optimized geometry, DFT PBE; values from VASP
&SYSTEM
  ibrav = 0, nat = 16, ntyp = 4
/
ATOMIC_SPECIES
Hg 200.59 Hg.upf
Os 190.23 Os.upf
S 32.06 S.upf
O 16.00 O.upf
CELL_PARAMETERS angstrom
7.226 0.000 0.000
0.000 6.675 0.000
-0.235 0.000 5.541
ATOMIC_POSITIONS crystal
Hg 0.066 0.204 0.023
Hg 0.066 0.296 0.523
Hg 0.934 0.704 0.477
Hg 0.934 0.796 0.977
Os 0.483 0.602 0.221
Os 0.483 0.898 0.721
Os 0.517 0.102 0.279
Os 0.517 0.398 0.779
S 0.294 0.628 0.882
S 0.294 0.872 0.382
S 0.706 0.128 0.618
S 0.706 0.372 0.118
O 0.403 0.145 0.929
O 0.403 0.355 0.429
O 0.597 0.645 0.571
O 0.597 0.855 0.071
! Size of the total moment = 0.06 μB per atom
! V = 267 Å³ per cell
! Space group = P2_1/c, No. 14
! Excess energy over the best structure of this formula in the dataset = 0.00 eV per formula unit
! E = -5.3406 eV per atom

Record 18
! HgOsSO, optimized geometry, DFT PBE; values from VASP
&SYSTEM
  ibrav = 0, nat = 8, ntyp = 4
/
ATOMIC_SPECIES
Hg 200.59 Hg.upf
Os 190.23 Os.upf
S 32.06 S.upf
O 16.00 O.upf
CELL_PARAMETERS angstrom
3.354 0.000 0.000
0.000 8.126 0.000
0.000 0.000 5.480
ATOMIC_POSITIONS crystal
Hg 0.000 0.054 0.000
Hg 0.000 0.946 0.500
Os 0.500 0.478 0.352
Os 0.500 0.522 0.852
S 0.000 0.351 0.559
S 0.000 0.649 0.059
O 0.500 0.327 0.074
O 0.500 0.673 0.574
! Size of the total moment = 0.00 μB per atom
! V = 149 Å³ per cell
! Space group = Pmc2_1, No. 26
! Excess energy over the best structure of this formula in the dataset = 0.01 eV per formula unit
! E = -5.3381 eV per atom

Record 19
! HgOsSO, optimized geometry, DFT PBE; values from VASP
&SYSTEM
  ibrav = 0, nat = 16, ntyp = 4
/
ATOMIC_SPECIES
Hg 200.59 Hg.upf
Os 190.23 Os.upf
S 32.06 S.upf
O 16.00 O.upf
CELL_PARAMETERS angstrom
6.800 0.000 0.000
0.000 8.937 0.000
0.000 0.000 5.742
ATOMIC_POSITIONS crystal
Hg 0.246 0.095 0.000
Hg 0.254 0.095 0.500
Hg 0.746 0.905 0.000
Hg 0.754 0.905 0.500
Os 0.140 0.622 0.755
Os 0.360 0.622 0.255
Os 0.640 0.378 0.755
Os 0.860 0.378 0.255
S 0.121 0.483 0.425
S 0.379 0.483 0.925
S 0.621 0.517 0.425
S 0.879 0.517 0.925
O 0.145 0.818 0.747
O 0.355 0.818 0.247
O 0.645 0.182 0.747
O 0.855 0.182 0.247
! Size of the total moment = 0.00 μB per atom
! V = 349 Å³ per cell
! Space group = Pca2_1, No. 29
! Excess energy over the best structure of this formula in the dataset = 0.15 eV per formula unit
! E = -5.3031 eV per atom

Record 20
! HgTeOsO, optimized geometry, DFT PBE; values from VASP
&SYSTEM
  ibrav = 0, nat = 8, ntyp = 4
/
ATOMIC_SPECIES
Hg 200.59 Hg.upf
Te 127.60 Te.upf
Os 190.23 Os.upf
O 16.00 O.upf
CELL_PARAMETERS angstrom
3.760 0.000 0.000
0.000 6.965 0.000
0.000 0.000 7.374
ATOMIC_POSITIONS crystal
Hg 0.000 0.219 0.000
Hg 0.000 0.781 0.500
Te 0.000 0.215 0.556
Te 0.000 0.785 0.056
Os 0.500 0.473 0.531
Os 0.500 0.527 0.031
O 0.500 0.487 0.280
O 0.500 0.513 0.780
! Size of the total moment = 0.00 μB per atom
! V = 193 Å³ per cell
! Space group = Pmc2_1, No. 26
! Excess energy over the best structure of this formula in the dataset = 0.00 eV per formula unit
! E = -5.1006 eV per atom

Record 21
! HgTeOsO, optimized geometry, DFT PBE; values from VASP
&SYSTEM
  ibrav = 0, nat = 8, ntyp = 4
/
ATOMIC_SPECIES
Hg 200.59 Hg.upf
Te 127.60 Te.upf
Os 190.23 Os.upf
O 16.00 O.upf
CELL_PARAMETERS angstrom
4.074 0.000 0.000
0.000 4.074 0.000
0.000 0.000 9.693
ATOMIC_POSITIONS crystal
Hg 0.250 0.750 0.000
Hg 0.750 0.250 0.000
Te 0.250 0.250 0.287
Te 0.750 0.750 0.713
Os 0.250 0.250 0.565
Os 0.750 0.750 0.435
O 0.250 0.750 0.500
O 0.750 0.250 0.500
! Size of the total moment = 0.00 μB per atom
! V = 161 Å³ per cell
! Space group = P4/nmm, No. 129
! Excess energy over the best structure of this formula in the dataset = 2.75 eV per formula unit
! E = -4.4121 eV per atom

Record 22
! TlHg3OsO4, optimized geometry, DFT PBE; values from VASP
&SYSTEM
  ibrav = 0, nat = 9, ntyp = 4
/
ATOMIC_SPECIES
Tl 204.38 Tl.upf
Hg 200.59 Hg.upf
Os 190.23 Os.upf
O 16.00 O.upf
CELL_PARAMETERS angstrom
6.856 0.000 0.000
0.000 6.856 0.000
0.000 0.000 6.856
ATOMIC_POSITIONS crystal
Tl 0.000 0.000 0.000
Hg 0.000 0.500 0.500
Hg 0.500 0.000 0.500
Hg 0.500 0.500 0.000
Os 0.500 0.500 0.500
O 0.350 0.350 0.350
O 0.350 0.650 0.650
O 0.650 0.350 0.650
O 0.650 0.650 0.350
! Size of the total moment = 0.11 μB per atom
! V = 322 Å³ per cell
! Space group = P-43m, No. 215
! E = -4.1187 eV per atom